{"formula": "Na2Sb2Se5", "functional": "PBE", "state": "optimized geometry", "total_magnetization_mub_per_cell": 0.00, "energy_ev_per_atom": -3.65, "e_above_lowest_polymorph_mev_per_atom": 0, "e_form_raw_kj_per_mol_fu": -441, "volume_a3_per_atom": 28.317, "cell": [[-1.400, -3.553, -1.894], [3.228, -0.172, -7.411], [3.981, -4.092, 7.159]], "species": ["Na", "Na", "Sb", "Sb", "Se", "Se", "Se", "Se", "Se"], "fractional_positions": [[0.409, 0.304, 0.196], [0.591, 0.696, 0.804], [0.175, 0.920, 0.275], [0.825, 0.080, 0.725], [0.000, 0.000, 0.000], [0.885, 0.594, 0.146], [0.115, 0.406, 0.854], [0.624, 0.197, 0.470], [0.376, 0.803, 0.530]]}